{"formula": "NaCrH12S2O8", "functional": "GGA+U", "state": "optimized geometry", "space_group": "Pa-3", "energy_ev_per_atom": -4.5770, "cell": [[9.325, 0.000, 0.000], [0.000, 9.325, 0.000], [0.000, 0.000, 9.325]], "species": ["Na", "Na", "Na", "Na", "Cr", "Cr", "Cr", "Cr", "H", "H", "H", "H", "H", "H", "H", "H", "H", "H", "H", "H", "H", "H", "H", "H", "H", "H", "H", "H", "H", "H", "H", "H", "H", "H", "H", "H", "H", "H", "H", "H", "H", "H", "H", "H", "H", "H", "H", "H", "H", "H", "H", "H", "H", "H", "H", "H", "S", "S", "S", "S", "S", "S", "S", "S", "O", "O", "O", "O", "O", "O", "O", "O", "O", "O", "O", "O", "O", "O", "O", "O", "O", "O", "O", "O", "O", "O", "O", "O", "O", "O", "O", "O", "O", "O", "O", "O"], "frac_coords": [[0.000, 0.000, 0.000], [0.500, 0.000, 0.500], [0.000, 0.500, 0.500], [0.500, 0.500, 0.000], [0.500, 0.500, 0.500], [0.000, 0.500, 0.000], [0.500, 0.000, 0.000], [0.000, 0.000, 0.500], [0.983, 0.792, 0.111], [0.017, 0.208, 0.889], [0.517, 0.208, 0.611], [0.017, 0.292, 0.389], [0.111, 0.983, 0.792], [0.483, 0.792, 0.389], [0.983, 0.708, 0.611], [0.889, 0.017, 0.208], [0.483, 0.708, 0.889], [0.611, 0.517, 0.208], [0.517, 0.292, 0.111], [0.389, 0.483, 0.792], [0.389, 0.017, 0.292], [0.611, 0.983, 0.708], [0.889, 0.483, 0.708], [0.111, 0.517, 0.292], [0.792, 0.111, 0.983], [0.208, 0.889, 0.017], [0.292, 0.389, 0.017], [0.708, 0.611, 0.983], [0.708, 0.889, 0.483], [0.292, 0.111, 0.517], [0.208, 0.611, 0.517], [0.792, 0.389, 0.483], [0.165, 0.461, 0.314], [0.835, 0.539, 0.686], [0.335, 0.539, 0.814], [0.835, 0.961, 0.186], [0.314, 0.165, 0.461], [0.665, 0.461, 0.186], [0.165, 0.039, 0.814], [0.686, 0.835, 0.539], [0.665, 0.039, 0.686], [0.814, 0.335, 0.539], [0.335, 0.961, 0.314], [0.186, 0.665, 0.461], [0.186, 0.835, 0.961], [0.814, 0.165, 0.039], [0.686, 0.665, 0.039], [0.314, 0.335, 0.961], [0.461, 0.314, 0.165], [0.539, 0.686, 0.835], [0.961, 0.186, 0.835], [0.039, 0.814, 0.165], [0.039, 0.686, 0.665], [0.961, 0.314, 0.335], [0.539, 0.814, 0.335], [0.461, 0.186, 0.665], [0.184, 0.184, 0.184], [0.816, 0.816, 0.816], [0.316, 0.816, 0.684], [0.816, 0.684, 0.316], [0.684, 0.184, 0.316], [0.184, 0.316, 0.684], [0.684, 0.316, 0.816], [0.316, 0.684, 0.184], [0.274, 0.274, 0.274], [0.726, 0.726, 0.726], [0.226, 0.726, 0.774], [0.726, 0.774, 0.226], [0.774, 0.274, 0.226], [0.274, 0.226, 0.774], [0.774, 0.226, 0.726], [0.226, 0.774, 0.274], [0.102, 0.073, 0.271], [0.898, 0.927, 0.729], [0.398, 0.927, 0.771], [0.898, 0.573, 0.229], [0.271, 0.102, 0.073], [0.602, 0.073, 0.229], [0.102, 0.427, 0.771], [0.729, 0.898, 0.927], [0.602, 0.427, 0.729], [0.771, 0.398, 0.927], [0.398, 0.573, 0.271], [0.229, 0.602, 0.073], [0.229, 0.898, 0.573], [0.771, 0.102, 0.427], [0.729, 0.602, 0.427], [0.271, 0.398, 0.573], [0.073, 0.271, 0.102], [0.927, 0.729, 0.898], [0.573, 0.229, 0.898], [0.427, 0.771, 0.102], [0.427, 0.729, 0.602], [0.573, 0.271, 0.398], [0.927, 0.771, 0.398], [0.073, 0.229, 0.602]]}